Below is a relaxed structure of KCrCu2Se4, with properties calculated at the GGA-PBE level.

The structure in POSCAR format:
```
KCrCu2Se4
1.0
-3.893 4.633 -1.385
-5.242 0.913 3.876
0.837 5.773 3.049
Se K Cr Cu
4 1 1 2
Cartesian
-5.920 5.417 1.319
-3.948 7.773 3.661
-4.510 4.197 4.510
-2.215 5.252 1.588
0.000 0.000 0.000
-4.148 5.660 2.770
-6.170 8.279 3.301
-2.127 3.041 2.238
```

total magnetization	1.053	μB/cell
formation energy (no corrections)	-370	meV/atom
V	208.30	Å³/cell
Fermi-level density of states	4.2	states/eV/cell
SG	I222, No. 23

Below is a relaxed structure of PaAlVW, with properties calculated at the GGA-PBE level.

The structure in POSCAR format:
```
PaAlVW
1.0
4.599 0.000 0.000
2.299 3.983 0.000
2.299 1.328 3.755
Al Pa W V
1 1 1 1
Cartesian
6.898 3.983 2.816
2.299 1.328 0.939
0.000 0.000 0.000
4.599 2.655 1.877
```

calculated total energy	-8.80	eV/atom
total magnetization	0.000	μB/cell
V	68.78	Å³/cell
Fermi-level density of states	3.6	states/eV/cell
SG	F-43m, No. 216

Below is a relaxed structure of SrPm2Co, with properties calculated at the GGA-PBE level.

The structure in POSCAR format:
```
SrPm2Co
1.0
-3.518 -1.104 -1.672
-0.209 -3.368 -2.237
-3.422 -6.672 6.702
Co Sr Pm
1 1 2
Cartesian
0.000 0.000 0.000
-3.574 -5.572 1.397
-1.560 -2.246 -0.136
-5.589 -8.899 2.929
```

polymorph energy (0 for the lowest one)	0.004	eV per atom
total magnetization	0.000	μB/cell
V	138.86	Å³/cell
Fermi-level density of states	3.5	states/eV/cell
SG	R-3m, No. 166

Below is a relaxed structure of CaCr3, with properties calculated at the GGA-PBE level.

The structure in POSCAR format:
```
CaCr3
1.0
4.027 0.000 0.000
0.000 5.351 0.000
0.000 0.000 6.688
Cr Ca
6 2
Cartesian
0.000 1.227 0.654
2.014 0.000 1.172
2.014 1.449 6.035
0.000 4.124 0.654
0.000 2.675 5.516
2.014 3.902 6.035
2.014 2.675 2.719
0.000 0.000 3.969
```

calculated total energy	-7.08	eV/atom
total magnetization	0.000	μB/cell
V	144.12	Å³/cell
Fermi-level density of states	9.0	states/eV/cell
SG	Pmmn, No. 59

Below is a relaxed structure of CsFe2Se2, with properties calculated at the GGA-PBE level.

The structure in POSCAR format:
```
CsFe2Se2
1.0
-1.933 1.933 7.332
1.933 -1.933 7.332
1.933 1.933 -7.332
Fe Se Cs
2 2 1
Cartesian
1.933 0.000 3.666
0.000 1.933 3.666
0.000 0.000 9.710
0.000 0.000 4.954
0.000 0.000 0.000
```

total magnetization	0.000	μB/cell
formation energy (no corrections)	-448	meV/atom
V	109.56	Å³/cell
Fermi-level density of states	2.0	states/eV/cell
SG	I4/mmm, No. 139

Below is a relaxed structure of Ag4SnSb, with properties calculated at the GGA-PBE level.

The structure in POSCAR format:
```
Ag4SnSb
1.0
-2.974 -4.598 -1.426
1.402 -2.956 -4.616
2.310 -5.138 0.525
Sb Ag Sn
1 4 1
Cartesian
0.185 -3.173 -1.379
-0.239 -6.455 -1.141
1.948 -5.634 -2.736
-0.693 -5.364 -3.711
0.461 -7.932 -3.448
0.000 0.000 0.000
```

polymorph energy (0 for the lowest one)	0.042	eV per atom
total magnetization	0.000	μB/cell
formation energy (no corrections)	78	meV/atom
V	128.09	Å³/cell
Fermi-level density of states	2.1	states/eV/cell
SG	F-43m, No. 216

Below is a relaxed structure of YOsPb, with properties calculated at the GGA-PBE level.

The structure in POSCAR format:
```
YOsPb
1.0
-4.093 -4.877 0.294
-2.039 -5.267 2.954
-2.476 1.029 2.062
Y Pb Os
1 1 1
Cartesian
-4.829 -6.164 2.825
-3.787 -2.979 2.487
-6.123 -10.118 3.245
```

calculated total energy	-7.04	eV/atom
total magnetization	0.000	μB/cell
V	67.60	Å³/cell
Fermi-level density of states	2.1	states/eV/cell
SG	I4mm, No. 107

Below is a relaxed structure of Li2MnSe2, with properties calculated at the GGA-PBE level.

The structure in POSCAR format:
```
Li2MnSe2
1.0
-0.346 4.722 -5.131
-4.121 -4.282 -3.663
-3.054 1.546 1.629
Mn Li Se
2 4 4
Cartesian
-2.234 0.220 -4.397
0.000 0.000 0.000
-4.201 -1.308 -2.225
-3.320 3.293 -4.940
-5.303 0.088 -5.616
-2.219 1.897 -1.549
-1.392 -0.546 -2.092
-0.965 2.439 -4.124
-3.076 0.985 -6.702
-3.503 -1.999 -4.671
```

total magnetization	8.415	μB/cell
formation energy (no corrections)	-696	meV/atom
V	184.77	Å³/cell
Fermi-level density of states	3.5	states/eV/cell
SG	P4/mbm, No. 127

Below is a relaxed structure of Ca3CdHg7, with properties calculated at the GGA-PBE level.

The structure in POSCAR format:
```
Ca3CdHg7
1.0
3.962 0.000 0.000
-1.981 10.466 0.000
0.000 0.000 14.578
Cd Hg Ca
2 14 6
Cartesian
1.981 9.484 3.645
0.000 0.982 10.934
1.981 3.504 9.438
1.981 0.655 13.169
1.981 4.303 6.602
0.000 6.163 7.976
1.981 3.504 12.429
0.000 9.811 1.409
0.000 9.811 5.880
1.981 0.655 8.698
0.000 6.962 2.149
0.000 6.962 5.140
1.981 1.707 3.645
1.981 4.303 0.687
0.000 8.759 10.934
0.000 6.163 13.891
0.000 5.615 10.934
1.981 8.599 8.244
0.000 1.867 6.334
0.000 1.867 0.955
1.981 8.599 13.623
1.981 4.851 3.645
```

calculated total energy	-1.13	eV/atom
total magnetization	0.000	μB/cell
V	604.57	Å³/cell
Fermi-level density of states	10.0	states/eV/cell
SG	Cmcm, No. 63

Below is a relaxed structure of La3Nd2Tl3, with properties calculated at the GGA-PBE level.

The structure in POSCAR format:
```
La3Nd2Tl3
1.0
3.896 0.000 -0.627
-0.212 5.484 -1.319
-0.025 0.042 12.256
Tl La Nd
3 3 2
Cartesian
-0.106 2.742 -0.659
0.438 0.671 2.720
3.221 4.855 7.590
1.948 0.000 -0.314
1.370 2.098 8.504
2.289 3.428 1.806
2.796 1.299 4.953
0.863 4.226 5.357
```

polymorph energy (0 for the lowest one)	0.002	eV per atom
total magnetization	0.000	μB/cell
V	262.00	Å³/cell
Fermi-level density of states	8.6	states/eV/cell
SG	Immm, No. 71

Below is a relaxed structure of PmSmSiGe, with properties calculated at the GGA-PBE level.

The structure in POSCAR format:
```
PmSmSiGe
1.0
-3.622 -1.688 1.899
1.767 -3.558 0.207
3.797 2.116 3.967
Si Ge Pm Sm
1 1 1 1
Cartesian
-0.615 -2.423 1.827
1.679 1.076 4.158
0.503 -1.707 4.594
0.550 0.352 1.362
```

polymorph energy (0 for the lowest one)	0.000	eV per atom
total magnetization	0.000	μB/cell
formation energy (no corrections)	-818	meV/atom
V	95.99	Å³/cell
Fermi-level density of states	3.0	states/eV/cell
SG	Amm2, No. 38

Below is a relaxed structure of Pa2TiPt9, with properties calculated at the GGA-PBE level.

The structure in POSCAR format:
```
Pa2TiPt9
1.0
-1.722 0.309 3.729
-3.179 -2.286 -1.279
5.872 -10.155 3.553
Pt Ti Pa
9 1 2
Cartesian
1.346 -6.220 1.137
1.494 -7.811 3.612
2.075 -4.923 3.641
-0.676 -2.722 -0.087
0.052 -1.425 2.417
3.369 -9.718 2.361
4.097 -8.421 4.865
-2.451 -0.989 1.225
-0.524 -4.321 2.391
0.000 0.000 0.000
3.964 -6.855 2.398
1.908 -3.300 1.154
```

calculated total energy	-7.65	eV/atom
total magnetization	2.025	μB/cell
V	207.97	Å³/cell
Fermi-level density of states	12.8	states/eV/cell
SG	P4/mmm, No. 123

Below is a relaxed structure of Ho2LuPa, with properties calculated at the GGA-PBE level.

The structure in POSCAR format:
```
Ho2LuPa
1.0
5.507 0.000 0.000
2.753 4.769 0.000
2.753 1.590 4.496
Lu Pa Ho
1 1 2
Cartesian
5.507 3.179 2.248
0.000 0.000 0.000
8.260 4.769 3.372
2.753 1.590 1.124
```

calculated total energy	-5.45	eV/atom
total magnetization	2.147	μB/cell
V	118.09	Å³/cell
Fermi-level density of states	10.6	states/eV/cell
SG	Fm-3m, No. 225

Below is a relaxed structure of Li15Mg6Pd, with properties calculated at the GGA-PBE level.

The structure in POSCAR format:
```
Li15Mg6Pd
1.0
8.519 0.702 -3.630
-3.712 5.552 -3.435
-0.488 -0.810 9.772
Li Pd Mg
15 1 6
Cartesian
-0.963 0.864 5.591
2.404 3.127 -3.533
4.489 1.800 -2.096
5.282 4.580 -2.885
-0.919 5.235 2.010
5.238 0.209 0.696
3.193 4.274 -0.455
-2.100 2.371 3.168
0.703 2.884 -1.545
1.126 1.170 3.162
1.847 4.002 2.375
-0.169 3.643 4.802
4.015 -0.054 3.071
3.616 2.560 4.252
2.472 1.441 0.332
0.000 0.000 0.000
4.701 2.896 1.760
3.408 6.001 -4.848
6.048 1.145 4.833
-0.382 2.547 0.947
0.911 -0.558 7.555
-1.729 4.299 -2.127
```

calculated total energy	-2.03	eV/atom
total magnetization	0.000	μB/cell
V	444.34	Å³/cell
Fermi-level density of states	7.7	states/eV/cell
SG	P-1, No. 2

Below is a relaxed structure of Er4Hg2O, with properties calculated at the GGA-PBE level.

The structure in POSCAR format:
```
Er4Hg2O
1.0
4.680 0.000 0.000
0.000 4.680 0.000
-2.340 -2.340 7.509
Er O Hg
4 1 2
Cartesian
0.000 2.340 0.000
2.340 2.340 4.852
0.000 0.000 2.658
2.340 0.000 0.000
0.000 0.000 0.000
0.000 0.000 5.545
2.340 2.340 1.964
```

total magnetization	0.000	μB/cell
formation energy (no corrections)	-1100	meV/atom
V	164.45	Å³/cell
Fermi-level density of states	1.5	states/eV/cell
SG	I4/mmm, No. 139

Below is a relaxed structure of SnBrN2, with properties calculated at the GGA-PBE level.

The structure in POSCAR format:
```
SnBrN2
1.0
5.968 -0.518 2.875
6.634 0.041 -0.371
5.880 2.613 1.657
Br Sn N
1 1 2
Cartesian
0.000 0.000 0.000
9.241 1.068 2.080
2.009 0.232 0.452
16.473 1.904 3.708
```

polymorph energy (0 for the lowest one)	0.000	eV per atom
total magnetization	0.000	μB/cell
formation energy (no corrections)	728	meV/atom
V	62.18	Å³/cell
Fermi-level density of states	2.5	states/eV/cell
SG	R-3m, No. 166

Below is a relaxed structure of TaBrF2, with properties calculated at the GGA-PBE level.

The structure in POSCAR format:
```
TaBrF2
1.0
4.554 0.000 0.000
0.000 4.554 0.000
2.277 2.277 6.884
Ta Br F
2 2 4
Cartesian
4.554 2.277 3.442
0.000 0.000 0.000
2.277 4.554 3.442
2.277 2.277 0.000
5.692 2.273 5.163
3.415 2.281 5.163
4.558 3.415 1.721
4.550 1.138 1.721
```

polymorph energy (0 for the lowest one)	0.065	eV per atom
total magnetization	3.964	μB/cell
formation energy (no corrections)	-1371	meV/atom
V	142.76	Å³/cell
Fermi-level density of states	2.8	states/eV/cell
SG	I4_1/amd, No. 141

Below is a relaxed structure of Ce3Al2Zn9, with properties calculated at the GGA-PBE level.

The structure in POSCAR format:
```
Ce3Al2Zn9
1.0
4.368 0.000 1.173
1.528 7.569 3.028
0.123 0.747 8.259
Ce Zn Al
3 9 2
Cartesian
0.000 0.000 0.000
3.587 2.388 4.078
2.431 5.928 8.383
1.966 2.248 1.398
0.919 1.510 5.295
0.825 4.158 5.644
1.566 0.308 2.885
4.052 6.067 11.063
1.516 4.406 3.074
5.099 6.805 7.166
4.452 8.007 9.576
4.503 3.909 9.386
2.761 2.955 7.153
3.257 5.361 5.308
```

calculated total energy	-2.92	eV/atom
total magnetization	1.881	μB/cell
V	263.41	Å³/cell
Fermi-level density of states	16.5	states/eV/cell
SG	Immm, No. 71

Below is a relaxed structure of Tl6CdIn4, with properties calculated at the GGA-PBE level.

The structure in POSCAR format:
```
Tl6CdIn4
1.0
-4.026 3.953 -2.476
2.047 -1.442 -5.630
-4.986 -7.673 3.524
Tl In Cd
6 4 1
Cartesian
-3.590 -0.638 -5.823
-4.937 -2.990 0.279
1.024 -0.721 -2.815
-2.013 1.976 -1.238
-2.580 -5.084 -0.945
-2.822 -1.613 -2.676
-4.439 1.280 -3.203
-5.045 -3.968 -2.929
-0.637 -2.096 -5.177
-3.807 -5.540 2.145
-0.989 1.255 -4.053
```

calculated total energy	-2.30	eV/atom
total magnetization	0.000	μB/cell
V	333.48	Å³/cell
Fermi-level density of states	4.7	states/eV/cell
SG	I-42m, No. 121

Below is a relaxed structure of TmTc, with properties calculated at the GGA-PBE level.

The structure in POSCAR format:
```
TmTc
1.0
3.908 0.000 0.000
0.000 4.573 -0.350
0.000 -1.915 5.301
Tm Tc
2 2
Cartesian
0.977 2.397 1.282
2.931 0.262 3.668
0.977 2.605 4.306
2.931 0.053 0.644
```

calculated total energy	-7.44	eV/atom
total magnetization	0.000	μB/cell
V	92.13	Å³/cell
Fermi-level density of states	3.3	states/eV/cell
SG	P2_1/m, No. 11

Below is a relaxed structure of Tb2HoThSc, with properties calculated at the GGA-PBE level.

The structure in POSCAR format:
```
Tb2HoThSc
1.0
6.626 0.000 0.000
0.000 7.595 1.344
0.000 -1.075 6.077
Tb Th Ho Sc
4 2 2 2
Cartesian
4.778 1.413 4.950
4.778 4.570 5.509
1.848 5.107 2.471
1.848 1.951 1.912
2.695 -0.807 4.557
3.931 -0.269 1.519
5.402 3.529 2.191
1.224 2.991 5.230
0.000 -0.538 3.038
0.000 0.000 0.000
```

calculated total energy	-5.23	eV/atom
total magnetization	0.001	μB/cell
V	315.40	Å³/cell
Fermi-level density of states	12.7	states/eV/cell
SG	Pmma, No. 51

Below is a relaxed structure of Cr2HPdBr, with properties calculated at the GGA-PBE level.

The structure in POSCAR format:
```
Cr2HPdBr
1.0
-2.959 4.153 0.927
-1.433 -0.342 -3.045
-3.645 -3.056 2.059
Cr H Pd Br
2 1 1 1
Cartesian
-1.479 2.077 0.463
-1.822 -1.528 1.030
-0.717 -0.171 -1.522
0.000 0.000 0.000
-4.018 0.378 -0.029
```

calculated total energy	-5.35	eV/atom
total magnetization	9.521	μB/cell
V	90.86	Å³/cell
Fermi-level density of states	2.6	states/eV/cell
SG	P4/mmm, No. 123

Below is a relaxed structure of AsIrAu, with properties calculated at the GGA-PBE level.

The structure in POSCAR format:
```
AsIrAu
1.0
8.015 0.003 -0.002
7.255 2.755 0.002
0.759 -1.251 2.451
As Ir Au
1 1 1
Cartesian
1.113 -1.153 2.391
10.285 1.381 0.842
5.391 0.029 1.669
```

polymorph energy (0 for the lowest one)	0.126	eV per atom
total magnetization	0.000	μB/cell
V	54.11	Å³/cell
Fermi-level density of states	1.5	states/eV/cell
SG	Fmm2, No. 42